A relaxed Li2Cd4In crystal, computed with PBE-GGA.

Summary:
Offset from the most stable computed form, meV per atom: 31
E_form, meV per atom: -37

Unit cell a=4.143 b=4.143 c=10.209 alpha=101.71 beta=101.71 gamma=90.00
Atoms (fractional coordinates):
Li 0.411 0.411 0.821
Li 0.589 0.589 0.179
Cd 0.141 0.141 0.282
Cd 0.750 0.250 0.500
Cd 0.859 0.859 0.718
Cd 0.250 0.750 0.500
In 0.000 0.000 0.000

---

A relaxed SrPr2OsO8 crystal, computed with PBE-GGA.

Summary:
ΔE_f (raw), eV per atom: -2.21

Unit cell a=5.259 b=5.249 c=7.218 alpha=90.01 beta=90.01 gamma=89.26
Atoms (fractional coordinates):
Sr 0.000 0.000 0.500
O 0.823 0.179 0.814
O 0.177 0.821 0.814
O 0.252 0.251 0.000
O 0.683 0.684 0.500
O 0.748 0.749 0.000
O 0.317 0.316 0.500
O 0.177 0.821 0.186
O 0.823 0.179 0.186
Os 0.000 0.000 0.000
Pr 0.500 0.500 0.254
Pr 0.500 0.500 0.746

---

A relaxed La3GeO crystal, computed with PBE-GGA.

Summary:
ΔE_f (raw), eV per atom: -1.43

Unit cell a=4.128 b=8.352 c=8.485 alpha=84.56 beta=90.00 gamma=104.31
Atoms (fractional coordinates):
La 0.956 0.913 0.809
La 0.044 0.087 0.191
La 0.840 0.679 0.478
La 0.160 0.321 0.522
La 0.330 0.660 0.123
La 0.670 0.340 0.877
Ge 0.690 0.379 0.248
Ge 0.310 0.621 0.752
O 0.914 0.829 0.085
O 0.086 0.171 0.915

---

A relaxed KP2SF crystal, computed with PBE-GGA.

Summary:
ΔE_f (raw), eV per atom: 0.34
Offset from the most stable computed form, meV per atom: 0

Unit cell a=4.318 b=4.318 c=5.474 alpha=90.00 beta=90.00 gamma=90.00
Atoms (fractional coordinates):
F 0.000 0.000 0.000
S 0.000 0.000 0.500
K 0.500 0.500 0.500
P 0.500 0.000 0.000
P 0.000 0.500 0.000

---

A relaxed NaYCl2F crystal, computed with PBE-GGA.

Summary:
ΔE_f (raw), eV per atom: -2.16

Unit cell a=5.437 b=5.437 c=4.386 alpha=90.00 beta=90.00 gamma=90.00
Atoms (fractional coordinates):
Cl 0.000 0.500 0.000
Cl 0.500 0.000 0.000
Y 0.000 0.000 0.000
F 0.000 0.000 0.500
Na 0.500 0.500 0.500

---

A relaxed Pm4Cu2Ru crystal, computed with PBE-GGA.

Summary:
Offset from the most stable computed form, meV per atom: 0
E_form, meV per atom: -100

Unit cell a=4.988 b=4.988 c=8.648 alpha=73.24 beta=73.24 gamma=60.00
Atoms (fractional coordinates):
Pm 0.878 0.878 0.366
Pm 0.374 0.374 0.879
Pm 0.626 0.626 0.121
Pm 0.122 0.122 0.634
Ru 0.000 0.000 0.000
Cu 0.248 0.248 0.255
Cu 0.752 0.752 0.745

---

A relaxed SiSnW crystal, computed with PBE-GGA.

Summary:
ΔE_f (raw), eV per atom: 0.07
Offset from the most stable computed form, meV per atom: 0

Unit cell a=3.217 b=3.272 c=10.992 alpha=90.00 beta=98.19 gamma=90.00
Atoms (fractional coordinates):
Si 0.338 0.250 0.681
Si 0.662 0.750 0.319
Sn 0.925 0.750 0.864
Sn 0.075 0.250 0.136
W 0.212 0.250 0.421
W 0.788 0.750 0.579

---

A relaxed ZnNi2Ir crystal, computed with PBE-GGA.

Summary:
E_form, meV per atom: 71

Unit cell a=2.612 b=2.612 c=8.443 alpha=90.00 beta=90.00 gamma=117.05
Atoms (fractional coordinates):
Zn 0.500 0.500 0.250
Ni 0.000 0.000 0.494
Ni 0.000 0.000 0.006
Ir 0.500 0.500 0.750

---

Magnetization: 0.0000, 0.0000, 0.0001, 0.0000, 0.0000, 0.0000, 0.0000, 0.0055 (μB/atom)